Crystalline Pd2SeBr2 at its relaxed geometry, computed with PBE-GGA.

Properties
Uncorrected formation energy (eV/atom): 0.0094
Energy (eV per atom): -3.43
Magnetization (μB/f.u.): 0.0

Geometry as POSCAR:
```
Pd2SeBr2
1.0
7.1269 0.0000 0.0000
0.0000 7.1269 0.0000
0.0000 0.0000 4.8064
Pd Se Br
4 2 4
Cartesian
1.7213 1.8421 0.0000
1.8421 5.4055 0.0000
5.2848 1.7213 0.0000
5.4055 5.2848 0.0000
0.0000 0.0000 0.0000
3.5634 3.5634 0.0000
1.2066 2.3569 2.4032
2.3569 5.9203 2.4032
4.7700 1.2066 2.4032
5.9203 4.7700 2.4032
```